Version 1
A plane-wave DFT calculation with PBE was carried out for crystalline Tc2TeP at its relaxed geometry. Values from VASP.

M_tot: 0.00 μB/f.u.

Cell and atoms, written as Quantum ESPRESSO input:
```
&SYSTEM
  ibrav = 0, nat = 4, ntyp = 3
/
ATOMIC_SPECIES
Tc 98.00 Tc.upf
Te 127.60 Te.upf
P 30.97 P.upf
ATOMIC_POSITIONS crystal
Tc 0.000 0.000 0.000
Tc 0.750 0.250 0.500
Te 0.250 0.750 0.500
P 0.500 0.500 0.000
CELL_PARAMETERS angstrom
-2.028 2.028 3.933
2.028 -2.028 3.933
2.028 2.028 -3.933
```


Version 2
A plane-wave DFT calculation with PBE was carried out for crystalline Tc2TeP at its relaxed geometry. Values from VASP.

M_tot: 0.00 μB/f.u.

Cell and atoms, written as Quantum ESPRESSO input:
```
&SYSTEM
  ibrav = 0, nat = 4, ntyp = 3
/
ATOMIC_SPECIES
Tc 98.00 Tc.upf
Te 127.60 Te.upf
P 30.97 P.upf
ATOMIC_POSITIONS crystal
Tc 0.000 0.000 0.000
Tc 0.500 0.500 0.235
Te 0.000 0.000 0.446
P 0.500 0.500 0.853
CELL_PARAMETERS angstrom
3.054 0.000 0.000
0.000 3.054 0.000
0.000 0.000 7.867
```


Version 3
A plane-wave DFT calculation with PBE was carried out for crystalline Tc2TeP at its relaxed geometry. Values from VASP.

M_tot: 0.00 μB/f.u.

Cell and atoms, written as Quantum ESPRESSO input:
```
&SYSTEM
  ibrav = 0, nat = 4, ntyp = 3
/
ATOMIC_SPECIES
Tc 98.00 Tc.upf
Te 127.60 Te.upf
P 30.97 P.upf
ATOMIC_POSITIONS crystal
Tc 0.000 0.000 0.000
Tc 0.500 0.500 0.197
Te 0.000 0.500 0.704
P 0.500 0.000 0.364
CELL_PARAMETERS angstrom
3.155 0.000 0.000
0.000 4.565 0.000
0.000 0.000 4.728
```


Version 4
A plane-wave DFT calculation with PBE was carried out for crystalline Tc2TeP at its relaxed geometry. Values from VASP.

M_tot: 0.00 μB/f.u.

Cell and atoms, written as Quantum ESPRESSO input:
```
&SYSTEM
  ibrav = 0, nat = 8, ntyp = 3
/
ATOMIC_SPECIES
Tc 98.00 Tc.upf
Te 127.60 Te.upf
P 30.97 P.upf
ATOMIC_POSITIONS crystal
Tc 0.078 0.625 0.953
Tc 0.375 0.328 0.453
Tc 0.672 0.125 0.047
Tc 0.875 0.922 0.547
Te 0.250 0.750 0.500
Te 0.500 0.500 0.000
P 0.000 0.000 0.000
P 0.750 0.250 0.500
CELL_PARAMETERS angstrom
-2.855 2.855 5.353
2.855 -2.855 5.353
2.855 2.855 -5.353
```


Which of them is most stable? Easy: version 3.


Version 1
A plane-wave DFT calculation with PBE was carried out for crystalline Tc2TeP at its relaxed geometry. Values from VASP.

M_tot: 0.00 μB/f.u.

Cell and atoms, written as Quantum ESPRESSO input:
```
&SYSTEM
  ibrav = 0, nat = 4, ntyp = 3
/
ATOMIC_SPECIES
Tc 98.00 Tc.upf
Te 127.60 Te.upf
P 30.97 P.upf
ATOMIC_POSITIONS crystal
Tc 0.000 0.000 0.000
Tc 0.500 0.000 0.500
Te 0.000 0.500 0.500
P 0.500 0.500 0.000
CELL_PARAMETERS angstrom
3.150 0.000 0.000
0.000 4.068 0.000
0.000 0.000 5.225
```


Version 2
A plane-wave DFT calculation with PBE was carried out for crystalline Tc2TeP at its relaxed geometry. Values from VASP.

M_tot: 0.00 μB/f.u.

Cell and atoms, written as Quantum ESPRESSO input:
```
&SYSTEM
  ibrav = 0, nat = 4, ntyp = 3
/
ATOMIC_SPECIES
Tc 98.00 Tc.upf
Te 127.60 Te.upf
P 30.97 P.upf
ATOMIC_POSITIONS crystal
Tc 0.156 0.000 0.303
Tc 0.844 0.000 0.697
Te 0.500 0.500 0.000
P 0.000 0.500 0.500
CELL_PARAMETERS angstrom
3.150 0.000 0.000
0.000 3.555 0.000
-1.566 0.000 6.079
```


Which of them is most stable? Easy: version 2.